1.
# Mg6BiMo

A relaxed Mg6BiMo crystal (GGA-PBE, the Alexandria database).

Energy relative to the elements (eV/atom): 0.16
DFT total energy (eV/atom): -2.87

```
data_Mg6BiMo
_space_group_name_H-M_alt 'A m m 2'
_space_group_IT_number 38
_cell_length_a 5.0331
_cell_length_b 6.3587
_cell_length_c 10.6500
_cell_angle_alpha 90.00
_cell_angle_beta 90.00
_cell_angle_gamma 90.00
loop_
_space_group_symop_operation_xyz
'x,y,z'
'-x,-y,z'
'-x,y,z'
'x,-y,z'
'x,y+1/2,z+1/2'
'-x,-y+1/2,z+1/2'
'-x,y+1/2,z+1/2'
'x,-y+1/2,z+1/2'
loop_
_atom_site_label
_atom_site_fract_x
_atom_site_fract_y
_atom_site_fract_z
Mg1 0.0000 0.0000 0.0000
Mg2 0.0000 0.2357 0.2550
Mg3 0.5000 0.0000 0.8312
Mg4 0.5000 0.2381 0.0860
Bi1 0.0000 0.0000 0.4971
Mo1 0.5000 0.0000 0.3290
```

***

2.
# PrDy3Mn

A relaxed PrDy3Mn crystal (GGA-PBE, the Alexandria database).

Energy relative to the elements (eV/atom): 0.22
DFT total energy (eV/atom): -5.33

```
data_PrDy3Mn
_space_group_name_H-M_alt 'P m -3 m'
_space_group_IT_number 221
_space_group_name_Hall '-P 4 2 3'
_cell_length_a 5.3412
_cell_length_b 5.3412
_cell_length_c 5.3412
_cell_angle_alpha 90.00
_cell_angle_beta 90.00
_cell_angle_gamma 90.00
loop_
_atom_site_label
_atom_site_fract_x
_atom_site_fract_y
_atom_site_fract_z
Pr1 0.0000 0.0000 0.0000
Dy1 0.0000 0.5000 0.5000
Mn1 0.5000 0.5000 0.5000
```